Compound: CrRh5
Source: Alexandria
Functional: PBE
Structure: optimized geometry

## Properties
ΔH_f (0 K), eV/atom: 0.45
E, eV/atom: -7.28
ρ, g cm⁻³: 9.665

abc: 5.0594 5.0594 4.3910
angles: 90.00 90.00 120.00
Site moments in Bohr magnetons follow the coordinates.
Element x y z (fractional)
Rh (0.5000, 0.5000, 0.5000)  -0.26
Rh (0.0000, 0.5000, 0.5000)  -0.26
Rh (0.6667, 0.3333, 0.0000)  -0.41
Rh (0.3333, 0.6667, 0.0000)  -0.41
Rh (0.5000, 0.0000, 0.5000)  -0.26
Cr (0.0000, 0.0000, 0.0000)  3.42